# SbIr2Rh | Alexandria | GGA-PBE | relaxed
# total magnetization	0.000	μB per atom
# uncorrected energy	-28.6	eV/cell
# DOS(E_F)	3.859	states/eV per cell
data_SbIr2Rh
_space_group_name_H-M_alt 'P m m 2'
_space_group_IT_number 25
_space_group_name_Hall 'P 2 -2'
_cell_length_a 2.913
_cell_length_b 3.864
_cell_length_c 5.753
_cell_angle_alpha 90.00
_cell_angle_beta 90.00
_cell_angle_gamma 90.00
loop_
_atom_site_label
_atom_site_type_symbol
_atom_site_fract_x
_atom_site_fract_y
_atom_site_fract_z
Sb1 Sb 0.000 0.000 0.000
Ir1 Ir 0.000 0.000 0.500
Ir2 Ir 0.500 0.500 0.286
Rh1 Rh 0.500 0.500 0.749

=====

# SbIr2Rh | Alexandria | GGA-PBE | relaxed
# total magnetization	0.000	μB per atom
# uncorrected energy	-56.5	eV/cell
# DOS(E_F)	9.799	states/eV per cell
data_SbIr2Rh
_space_group_name_H-M_alt 'I m m 2'
_space_group_IT_number 44
_space_group_name_Hall 'I 2 -2'
_cell_length_a 2.894
_cell_length_b 4.748
_cell_length_c 9.397
_cell_angle_alpha 90.00
_cell_angle_beta 90.00
_cell_angle_gamma 90.00
loop_
_atom_site_label
_atom_site_type_symbol
_atom_site_fract_x
_atom_site_fract_y
_atom_site_fract_z
Sb1 Sb 0.000 0.000 0.000
Ir1 Ir 0.000 0.000 0.505
Ir2 Ir 0.000 0.500 0.258
Rh1 Rh 0.000 0.500 0.740

=====

# Sr2Sb4Ir3Rh | Alexandria | GGA-PBE | relaxed
# total magnetization	0.000	μB per atom
# uncorrected energy	-59.5	eV/cell
# DOS(E_F)	6.133	states/eV per cell
data_Sr2Sb4Ir3Rh
_space_group_name_H-M_alt 'P -4 m 2'
_space_group_IT_number 115
_space_group_name_Hall 'P -4 -2'
_cell_length_a 4.609
_cell_length_b 4.609
_cell_length_c 10.653
_cell_angle_alpha 90.00
_cell_angle_beta 90.00
_cell_angle_gamma 90.00
loop_
_atom_site_label
_atom_site_type_symbol
_atom_site_fract_x
_atom_site_fract_y
_atom_site_fract_z
Sr1 Sr 0.000 0.500 0.249
Sb1 Sb 0.000 0.000 0.500
Sb2 Sb 0.000 0.500 0.871
Sb3 Sb 0.500 0.500 0.500
Ir1 Ir 0.000 0.000 0.000
Ir2 Ir 0.000 0.500 0.624
Rh1 Rh 0.500 0.500 0.000

=====

# Sb2TeIrRh | Alexandria | GGA-PBE | relaxed
# total magnetization	0.000	μB per atom
# uncorrected energy	-23.4	eV/cell
# DOS(E_F)	3.812	states/eV per cell
# energy above the most stable polymorph in this dataset	0.0000	eV per atom
data_Sb2TeIrRh
_space_group_name_H-M_alt 'P 4/m m m'
_space_group_IT_number 123
_space_group_name_Hall '-P 4 2'
_cell_length_a 5.020
_cell_length_b 5.020
_cell_length_c 5.368
_cell_angle_alpha 90.00
_cell_angle_beta 90.00
_cell_angle_gamma 90.00
loop_
_atom_site_label
_atom_site_type_symbol
_atom_site_fract_x
_atom_site_fract_y
_atom_site_fract_z
Sb1 Sb 0.000 0.500 0.000
Te1 Te 0.000 0.000 0.500
Ir1 Ir 0.000 0.000 0.000
Rh1 Rh 0.500 0.500 0.500

=====

# ZnSbIrRh | Alexandria | GGA-PBE | relaxed
# total magnetization	0.002	μB per atom
# uncorrected energy	-89.4	eV/cell
# DOS(E_F)	18.607	states/eV per cell
data_ZnSbIrRh
_space_group_name_H-M_alt 'F -4 3 m'
_space_group_IT_number 216
_space_group_name_Hall 'F -4 2 3'
_cell_length_a 6.327
_cell_length_b 6.327
_cell_length_c 6.327
_cell_angle_alpha 90.00
_cell_angle_beta 90.00
_cell_angle_gamma 90.00
loop_
_atom_site_label
_atom_site_type_symbol
_atom_site_fract_x
_atom_site_fract_y
_atom_site_fract_z
Zn1 Zn 0.000 0.000 0.000
Sb1 Sb 0.000 0.000 0.500
Ir1 Ir 0.250 0.250 0.750
Rh1 Rh 0.250 0.250 0.250

=====

# ZrSbIrRh2 | Alexandria | GGA-PBE | relaxed
# total magnetization	0.000	μB per atom
# uncorrected energy	-33.1	eV/cell
# DOS(E_F)	5.549	states/eV per cell
data_ZrSbIrRh2
_space_group_name_H-M_alt 'P 4/m m m'
_space_group_IT_number 123
_space_group_name_Hall '-P 4 2'
_cell_length_a 4.782
_cell_length_b 4.782
_cell_length_c 4.966
_cell_angle_alpha 90.00
_cell_angle_beta 90.00
_cell_angle_gamma 90.00
loop_
_atom_site_label
_atom_site_type_symbol
_atom_site_fract_x
_atom_site_fract_y
_atom_site_fract_z
Zr1 Zr 0.000 0.000 0.000
Sb1 Sb 0.500 0.500 0.000
Ir1 Ir 0.000 0.000 0.500
Rh1 Rh 0.000 0.500 0.500

=====

Uncorrected formation energy list, top to bottom, in meV/atom: 143.9; 238.0; -569.7; 842.5; -186.4; 626.5